Compound: Nd3Ho2Tm7
Source: the Alexandria database
Functional: PBE
Structure: relaxed

The value obtained for the calculated formation energy is 0.093 eV/atom. The density comes out at 8.46 g/cm3. Its space group is P2/m. Its energy above the most stable polymorph in this dataset is 0.002 eV/atom.

Unit cell a=3.5073 b=6.2948 c=17.8459 alpha=75.81 beta=90.00 gamma=90.00
Last column: nearest neighbours and their distance in Å.
Atoms (fractional coordinates):
Tm  0.0000  0.5643  0.1652  2 Ho 3.44, 7 Tm 3.50-3.64, 3 Nd 3.54-3.70
Ho  0.5000  0.3817  0.6746  5 Tm 3.41-3.45, 2 Ho 3.51, 4 Nd 3.59-3.64
Ho  0.5000  0.6183  0.3254  5 Tm 3.41-3.45, 2 Ho 3.51, 4 Nd 3.59-3.64
Nd  0.0000  0.1108  0.3419  2 Nd 3.51, 4 Ho 3.59-3.64, 7 Tm 3.60-3.70
Nd  0.0000  0.8892  0.6581  2 Nd 3.51, 4 Ho 3.59-3.64, 7 Tm 3.60-3.70
Tm  0.5000  0.0578  0.1655  1 Ho 3.45, 8 Tm 3.51-3.64, 3 Nd 3.53-3.69
Tm  0.5000  0.2474  0.5002  2 Tm 3.12-3.18, 2 Ho 3.41-3.42
Tm  0.0000  0.0000  0.0000  8 Tm 3.50-3.53, 4 Nd 3.60
Tm  0.0000  0.4357  0.8348  2 Ho 3.44, 7 Tm 3.50-3.64, 3 Nd 3.54-3.70
Tm  0.5000  0.7526  0.4998  2 Tm 3.12-3.18, 2 Ho 3.41-3.42
Tm  0.5000  0.9422  0.8345  1 Ho 3.45, 8 Tm 3.51-3.64, 3 Nd 3.53-3.69
Nd  0.5000  0.5000  0.0000  2 Nd 3.51, 10 Tm 3.53-3.60

Compound: TiZn2Pt
Source: the Alexandria database
Functional: PBE
Structure: relaxed

The value obtained for the calculated formation energy is -0.529 eV/atom. The density comes out at 10.31 g/cm3. Its space group is Pmmn.

Unit cell a=4.4255 b=5.6731 c=4.7953 alpha=90.00 beta=90.00 gamma=90.00
Last column: nearest neighbours and their distance in Å.
Atoms (fractional coordinates):
Zn  0.2500  0.5067  0.6522  4 Zn 2.65-2.91, 4 Pt 2.66-2.87, 4 Ti 2.67-2.95
Pt  0.2500  0.7500  0.1768  4 Ti 2.63-2.85, 8 Zn 2.66-2.87
Zn  0.2500  0.9933  0.6522  4 Zn 2.65-2.91, 4 Pt 2.66-2.87, 4 Ti 2.67-2.95
Ti  0.7500  0.7500  0.8822  4 Pt 2.63-2.85, 6 Zn 2.67-2.83
Zn  0.7500  0.4933  0.3478  4 Zn 2.65-2.91, 4 Pt 2.66-2.87, 4 Ti 2.67-2.95
Pt  0.7500  0.2500  0.8232  4 Ti 2.63-2.85, 8 Zn 2.66-2.87
Ti  0.2500  0.2500  0.1178  4 Pt 2.63-2.85, 6 Zn 2.67-2.83
Zn  0.7500  0.0067  0.3478  4 Zn 2.65-2.91, 4 Pt 2.66-2.87, 4 Ti 2.67-2.95

Compound: SmTi2NiN4
Source: the Alexandria database
Functional: PBE
Structure: relaxed

The density comes out at 6.81 g/cm3. Its space group is Cmcm. The value obtained for the energy relative to the elements, uncorrected is -1.144 eV per atom.

Unit cell a=3.1407 b=5.5117 c=10.6076 alpha=90.00 beta=90.00 gamma=106.55
Last column: nearest neighbours and their distance in Å.
Atoms (fractional coordinates):
Ni  0.8441  0.6882  0.7500  4 N 1.87-1.91
N  0.2677  0.5354  0.1080  1 Ni 1.91, 1 Ti 1.97
Ni  0.1559  0.3118  0.2500  4 N 1.87-1.91
Ti  0.6324  0.2648  0.4507  3 N 1.97-2.17
N  0.2677  0.5354  0.3920  1 Ni 1.91, 1 Ti 1.97
Ti  0.3676  0.7352  0.9507  3 N 1.97-2.17
Ti  0.3676  0.7352  0.5493  3 N 1.97-2.17
N  0.5594  0.1189  0.2500  2 Ni 1.87
N  0.7323  0.4646  0.6080  1 Ni 1.91, 1 Ti 1.97
N  0.0000  0.0000  0.0000  4 Ti 2.17
N  0.0000  0.0000  0.5000  4 Ti 2.17
Sm  0.8916  0.7832  0.2500  6 N 2.37-2.54
Sm  0.1084  0.2168  0.7500  6 N 2.37-2.54
N  0.7323  0.4646  0.8920  1 Ni 1.91, 1 Ti 1.97
N  0.4406  0.8811  0.7500  2 Ni 1.87
Ti  0.6324  0.2648  0.0493  3 N 1.97-2.17

Compound: LiLa2Hf
Source: the Alexandria database
Functional: PBE
Structure: relaxed

The value obtained for the calculated formation energy is 0.262 eV/atom. The density comes out at 6.81 g/cm3. Its space group is Fm-3m. Its energy above the most stable polymorph in this dataset is 0.116 eV/atom.

Unit cell a=5.4261 b=5.4261 c=5.4261 alpha=60.00 beta=60.00 gamma=60.00
Last column: nearest neighbours and their distance in Å.
Atoms (fractional coordinates):
Li  0.0000  0.0000  0.0000  8 La 3.32
Hf  0.5000  0.5000  0.5000  8 La 3.32
La  0.7500  0.7500  0.7500  4 Li 3.32, 4 Hf 3.32
La  0.2500  0.2500  0.2500  4 Hf 3.32, 4 Li 3.32

Compound: CaNbP2N6
Source: the Alexandria database
Functional: PBE
Structure: relaxed

The density comes out at 3.63 g/cm3. Its space group is C2/c. The value obtained for the energy relative to the elements, uncorrected is -0.533 eV per atom.

Unit cell a=5.5105 b=7.0410 c=7.0410 alpha=87.02 beta=75.15 gamma=75.15
Last column: nearest neighbours and their distance in Å.
Atoms (fractional coordinates):
Nb  0.2500  0.2586  0.7414  4 N 2.00-2.01
N  0.8703  0.3928  0.8034  1 P 1.62
N  0.6638  0.7043  0.6180  2 P 1.66-1.69
N  0.6297  0.1966  0.6072  1 P 1.62
Nb  0.7500  0.7414  0.2586  4 N 2.00-2.01
N  0.2879  0.2470  0.0178  1 P 1.63
P  0.8437  0.6263  0.7771  4 N 1.62-1.69
P  0.6563  0.2229  0.3737  4 N 1.62-1.69
N  0.1638  0.6180  0.7043  2 P 1.66-1.69
N  0.7879  0.0178  0.2470  1 P 1.63
N  0.1297  0.6072  0.1966  1 P 1.62
P  0.3437  0.7771  0.6263  4 N 1.62-1.69
N  0.3703  0.8034  0.3928  1 P 1.62
N  0.8362  0.3820  0.2957  2 P 1.66-1.69
Ca  0.2500  0.8996  0.1004  6 N 2.34-2.53
P  0.1563  0.3737  0.2229  4 N 1.62-1.69
Ca  0.7500  0.1004  0.8996  6 N 2.34-2.53
N  0.2121  0.9822  0.7530  1 P 1.63
N  0.3362  0.2957  0.3820  2 P 1.66-1.69
N  0.7121  0.7530  0.9822  1 P 1.63

Compound: Dy4Te2PtS
Source: the Alexandria database
Functional: PBE
Structure: relaxed

The density comes out at 8.89 g/cm3. Its space group is P2/m. The value obtained for the energy relative to the elements, uncorrected is -1.464 eV per atom.

Unit cell a=4.0891 b=7.3207 c=7.4579 alpha=108.73 beta=90.00 gamma=90.00
Last column: nearest neighbours and their distance in Å.
Atoms (fractional coordinates):
Dy  0.0000  0.2726  0.7910  2 Pt 2.78, 1 S 2.90
Dy  0.5000  0.2368  0.2149  2 S 2.82, 1 Pt 2.87, 3 Te 3.13-3.15
Pt  0.5000  0.5000  0.0000  6 Dy 2.78-2.87
Dy  0.5000  0.7632  0.7851  2 S 2.82, 1 Pt 2.87, 3 Te 3.13-3.15
Dy  0.0000  0.7274  0.2090  2 Pt 2.78, 1 S 2.90
Te  0.0000  0.5000  0.5000  6 Dy 3.13
S  0.0000  0.0000  0.0000  6 Dy 2.82-2.90
Te  0.5000  0.0000  0.5000  6 Dy 3.15-3.18